Entry 1:
! LiZnCd2, optimized geometry, DFT PBEsol; values from VASP
! - D(E_F) (states/eV per atom) = 0.266
! - DFT total energy (eV per atom) = -1.62
! - total magnetization (μB per formula unit) = 0.00
! - calculated formation energy (meV per atom) = -136.7
&SYSTEM
  ibrav = 0, nat = 4, ntyp = 3
/
ATOMIC_SPECIES
Li 6.94 Li.upf
Zn 65.41 Zn.upf
Cd 112.41 Cd.upf
ATOMIC_POSITIONS crystal
Li 0.000 0.000 0.000
Zn 0.500 0.500 0.000
Cd 0.000 0.500 0.500
Cd 0.500 0.000 0.500
CELL_PARAMETERS angstrom
3.068 -3.073 0.000
3.068 3.073 0.000
0.000 0.000 3.681

=====

Entry 2:
! LiZnCd2, optimized geometry, DFT PBEsol; values from VASP
! - D(E_F) (states/eV per atom) = 0.232
! - DFT total energy (eV per atom) = -1.60
! - total magnetization (μB per formula unit) = 0.00
! - calculated formation energy (meV per atom) = -113.8
&SYSTEM
  ibrav = 0, nat = 4, ntyp = 3
/
ATOMIC_SPECIES
Li 6.94 Li.upf
Zn 65.41 Zn.upf
Cd 112.41 Cd.upf
ATOMIC_POSITIONS crystal
Li 0.000 0.000 0.000
Zn 0.601 0.500 0.203
Cd 0.358 0.500 0.709
Cd 0.737 0.000 0.466
CELL_PARAMETERS angstrom
2.926 0.000 0.000
0.000 4.537 0.000
-1.476 0.000 5.445

=====

Entry 3:
! LiZnCd2, optimized geometry, DFT PBEsol; values from VASP
! - D(E_F) (states/eV per atom) = 0.285
! - DFT total energy (eV per atom) = -1.60
! - total magnetization (μB per formula unit) = 0.00
! - calculated formation energy (meV per atom) = -112.7
&SYSTEM
  ibrav = 0, nat = 4, ntyp = 3
/
ATOMIC_SPECIES
Li 6.94 Li.upf
Zn 65.41 Zn.upf
Cd 112.41 Cd.upf
ATOMIC_POSITIONS crystal
Li 0.000 0.000 0.000
Zn 0.500 0.500 0.221
Cd 0.000 0.000 0.469
Cd 0.500 0.500 0.761
CELL_PARAMETERS angstrom
3.083 0.000 0.000
0.000 3.739 0.000
0.000 0.000 6.037

=====

Entry 4:
! Li2ZnCd, optimized geometry, DFT PBEsol; values from VASP
! - D(E_F) (states/eV per atom) = 0.273
! - DFT total energy (eV per atom) = -1.86
! - total magnetization (μB per formula unit) = 0.00
! - calculated formation energy (meV per atom) = -186.7
&SYSTEM
  ibrav = 0, nat = 4, ntyp = 3
/
ATOMIC_SPECIES
Li 6.94 Li.upf
Zn 65.41 Zn.upf
Cd 112.41 Cd.upf
ATOMIC_POSITIONS crystal
Li 0.000 0.000 0.232
Li 0.000 0.000 0.768
Zn 0.500 0.500 0.000
Cd 0.500 0.500 0.500
CELL_PARAMETERS angstrom
3.150 0.000 0.000
0.000 3.150 0.000
0.000 0.000 6.301

=====

Entry 5:
! LiZnCd2, optimized geometry, DFT PBEsol; values from VASP
! - D(E_F) (states/eV per atom) = 0.344
! - DFT total energy (eV per atom) = -1.60
! - total magnetization (μB per formula unit) = 0.00
! - calculated formation energy (meV per atom) = -118.5
&SYSTEM
  ibrav = 0, nat = 4, ntyp = 3
/
ATOMIC_SPECIES
Li 6.94 Li.upf
Zn 65.41 Zn.upf
Cd 112.41 Cd.upf
ATOMIC_POSITIONS crystal
Li 0.000 0.000 0.000
Zn 0.000 0.000 0.500
Cd 0.500 0.500 0.246
Cd 0.500 0.500 0.754
CELL_PARAMETERS angstrom
3.127 0.000 0.000
0.000 3.693 0.000
0.000 0.000 6.034

=====

Entry 6:
! LiZnCd2, optimized geometry, DFT PBEsol; values from VASP
! - D(E_F) (states/eV per atom) = 0.283
! - DFT total energy (eV per atom) = -1.59
! - total magnetization (μB per formula unit) = 0.00
! - calculated formation energy (meV per atom) = -104.5
&SYSTEM
  ibrav = 0, nat = 4, ntyp = 3
/
ATOMIC_SPECIES
Li 6.94 Li.upf
Zn 65.41 Zn.upf
Cd 112.41 Cd.upf
ATOMIC_POSITIONS crystal
Li 0.000 0.000 0.000
Zn 0.264 0.264 0.737
Cd 0.516 0.516 0.522
Cd 0.752 0.752 0.219
CELL_PARAMETERS angstrom
4.820 -1.575 0.000
4.820 1.575 0.000
-1.248 0.000 4.595

=====

- Which value of total magnetization does entry 6 give?
  0.00 μB per formula unit

=====

- Which value of D(E_F) does entry 2 give?
  0.232 states/eV per atom

=====

Copy entry 1 word for word.
! LiZnCd2, optimized geometry, DFT PBEsol; values from VASP
! - D(E_F) (states/eV per atom) = 0.266
! - DFT total energy (eV per atom) = -1.62
! - total magnetization (μB per formula unit) = 0.00
! - calculated formation energy (meV per atom) = -136.7
&SYSTEM
  ibrav = 0, nat = 4, ntyp = 3
/
ATOMIC_SPECIES
Li 6.94 Li.upf
Zn 65.41 Zn.upf
Cd 112.41 Cd.upf
ATOMIC_POSITIONS crystal
Li 0.000 0.000 0.000
Zn 0.500 0.500 0.000
Cd 0.000 0.500 0.500
Cd 0.500 0.000 0.500
CELL_PARAMETERS angstrom
3.068 -3.073 0.000
3.068 3.073 0.000
0.000 0.000 3.681